1.
VASP calculation (PBEsol) on a relaxed TiFeI2 crystal.

Output
Crystal system   cubic
Total DFT energy (no corrections)   -4.76 eV per atom
Uncorrected formation energy   1.77 eV per formula unit

CIF file:
```
data_TiFeI2
_cell_length_a 4.816
_cell_length_b 4.816
_cell_length_c 4.816
_cell_angle_alpha 60.00
_cell_angle_beta 60.00
_cell_angle_gamma 60.00
_space_group_name_H-M_alt 'P 1'
_space_group_IT_number 1
_space_group_name_Hall 'P 1'
loop_
_atom_site_label
_atom_site_type_symbol
_atom_site_fract_x
_atom_site_fract_y
_atom_site_fract_z
Ti1 Ti 0.000 0.000 0.000
Fe1 Fe 0.500 0.500 0.500
I1 I 0.250 0.250 0.250
I2 I 0.750 0.750 0.750
```


2.
VASP calculation (PBEsol) on a relaxed Ti3FeI crystal.

Output
Crystal system   cubic
Total DFT energy (no corrections)   -6.88 eV per atom
Uncorrected formation energy   1.30 eV per formula unit

CIF file:
```
data_Ti3FeI
_cell_length_a 4.524
_cell_length_b 4.524
_cell_length_c 4.524
_cell_angle_alpha 90.00
_cell_angle_beta 90.00
_cell_angle_gamma 90.00
_space_group_name_H-M_alt 'P 1'
_space_group_IT_number 1
_space_group_name_Hall 'P 1'
loop_
_atom_site_label
_atom_site_type_symbol
_atom_site_fract_x
_atom_site_fract_y
_atom_site_fract_z
Ti1 Ti 0.000 0.000 0.500
Ti2 Ti 0.000 0.500 0.000
Ti3 Ti 0.500 0.000 0.000
Fe1 Fe 0.000 0.000 0.000
I1 I 0.500 0.500 0.500
```


3.
VASP calculation (PBEsol) on a relaxed TlFeI3 crystal.

Output
Crystal system   cubic
Total DFT energy (no corrections)   -3.50 eV per atom
Uncorrected formation energy   -0.58 eV per formula unit

CIF file:
```
data_TlFeI3
_cell_length_a 5.429
_cell_length_b 5.429
_cell_length_c 5.429
_cell_angle_alpha 90.00
_cell_angle_beta 90.00
_cell_angle_gamma 90.00
_space_group_name_H-M_alt 'P 1'
_space_group_IT_number 1
_space_group_name_Hall 'P 1'
loop_
_atom_site_label
_atom_site_type_symbol
_atom_site_fract_x
_atom_site_fract_y
_atom_site_fract_z
Tl1 Tl 0.000 0.000 0.000
Fe1 Fe 0.500 0.500 0.500
I1 I 0.000 0.500 0.500
I2 I 0.500 0.000 0.500
I3 I 0.500 0.500 0.000
```


4.
VASP calculation (PBEsol) on a relaxed YFeI3 crystal.

Output
Crystal system   cubic
Total DFT energy (no corrections)   -4.23 eV per atom
Uncorrected formation energy   -0.05 eV per formula unit

CIF file:
```
data_YFeI3
_cell_length_a 5.198
_cell_length_b 5.198
_cell_length_c 5.198
_cell_angle_alpha 90.00
_cell_angle_beta 90.00
_cell_angle_gamma 90.00
_space_group_name_H-M_alt 'P 1'
_space_group_IT_number 1
_space_group_name_Hall 'P 1'
loop_
_atom_site_label
_atom_site_type_symbol
_atom_site_fract_x
_atom_site_fract_y
_atom_site_fract_z
Y1 Y 0.000 0.000 0.000
Fe1 Fe 0.500 0.500 0.500
I1 I 0.000 0.500 0.500
I2 I 0.500 0.000 0.500
I3 I 0.500 0.500 0.000
```


5.
VASP calculation (PBEsol) on a relaxed Zr6FeI14 crystal.

Output
Crystal system   orthorhombic
Total DFT energy (no corrections)   -5.14 eV per atom
Uncorrected formation energy   -19.62 eV per formula unit

CIF file:
```
data_Zr6FeI14
_cell_length_a 10.668
_cell_length_b 10.668
_cell_length_c 12.922
_cell_angle_alpha 90.00
_cell_angle_beta 90.00
_cell_angle_gamma 83.75
_space_group_name_H-M_alt 'P 1'
_space_group_IT_number 1
_space_group_name_Hall 'P 1'
loop_
_atom_site_label
_atom_site_type_symbol
_atom_site_fract_x
_atom_site_fract_y
_atom_site_fract_z
Zr1 Zr 0.044 0.179 0.887
Zr2 Zr 0.142 0.858 0.896
Zr3 Zr 0.179 0.044 0.113
Zr4 Zr 0.321 0.456 0.613
Zr5 Zr 0.358 0.642 0.396
Zr6 Zr 0.456 0.321 0.387
Zr7 Zr 0.544 0.679 0.613
Zr8 Zr 0.642 0.358 0.604
Zr9 Zr 0.679 0.544 0.387
Zr10 Zr 0.821 0.956 0.887
Zr11 Zr 0.858 0.142 0.104
Zr12 Zr 0.956 0.821 0.113
Fe1 Fe 0.000 0.000 0.000
Fe2 Fe 0.500 0.500 0.500
I1 I 0.036 0.216 0.252
I2 I 0.097 0.403 0.750
I3 I 0.119 0.629 0.008
I4 I 0.129 0.619 0.508
I5 I 0.158 0.842 0.265
I6 I 0.216 0.036 0.748
I7 I 0.246 0.246 0.500
I8 I 0.254 0.254 0.000
I9 I 0.284 0.464 0.248
I10 I 0.342 0.658 0.765
I11 I 0.371 0.881 0.008
I12 I 0.381 0.871 0.508
I13 I 0.403 0.097 0.250
I14 I 0.464 0.284 0.752
I15 I 0.536 0.716 0.248
I16 I 0.597 0.903 0.750
I17 I 0.619 0.129 0.492
I18 I 0.629 0.119 0.992
I19 I 0.658 0.342 0.235
I20 I 0.716 0.536 0.752
I21 I 0.746 0.746 0.000
I22 I 0.754 0.754 0.500
I23 I 0.784 0.964 0.252
I24 I 0.842 0.158 0.735
I25 I 0.871 0.381 0.492
I26 I 0.881 0.371 0.992
I27 I 0.903 0.597 0.250
I28 I 0.964 0.784 0.748
```


6.
VASP calculation (PBEsol) on a relaxed ZrFe2I crystal.

Output
Crystal system   cubic
Total DFT energy (no corrections)   -6.71 eV per atom
Uncorrected formation energy   1.96 eV per formula unit

CIF file:
```
data_ZrFe2I
_cell_length_a 4.445
_cell_length_b 4.445
_cell_length_c 4.445
_cell_angle_alpha 60.00
_cell_angle_beta 60.00
_cell_angle_gamma 60.00
_space_group_name_H-M_alt 'P 1'
_space_group_IT_number 1
_space_group_name_Hall 'P 1'
loop_
_atom_site_label
_atom_site_type_symbol
_atom_site_fract_x
_atom_site_fract_y
_atom_site_fract_z
Zr1 Zr 0.000 0.000 0.000
Fe1 Fe 0.250 0.250 0.250
Fe2 Fe 0.750 0.750 0.750
I1 I 0.500 0.500 0.500
```


7.
VASP calculation (PBEsol) on a relaxed In3FeIr crystal.

Output
DFT formation energy   0.97 eV/atom
Crystal system   cubic
Total DFT energy (no corrections)   -4.58 eV per atom

CIF file:
```
data_In3FeIr
_cell_length_a 4.740
_cell_length_b 4.740
_cell_length_c 4.740
_cell_angle_alpha 90.00
_cell_angle_beta 90.00
_cell_angle_gamma 90.00
_space_group_name_H-M_alt 'P 1'
_space_group_IT_number 1
_space_group_name_Hall 'P 1'
loop_
_atom_site_label
_atom_site_type_symbol
_atom_site_fract_x
_atom_site_fract_y
_atom_site_fract_z
In1 In 0.000 0.000 0.500
In2 In 0.000 0.500 0.000
In3 In 0.500 0.000 0.000
Fe1 Fe 0.000 0.000 0.000
Ir1 Ir 0.500 0.500 0.500
```


8.
VASP calculation (PBEsol) on a relaxed KInFe crystal.

Output
DFT formation energy   0.99 eV/atom
Crystal system   cubic
Total DFT energy (no corrections)   -3.37 eV per atom

CIF file:
```
data_KInFe
_cell_length_a 4.843
_cell_length_b 4.843
_cell_length_c 4.843
_cell_angle_alpha 60.00
_cell_angle_beta 60.00
_cell_angle_gamma 60.00
_space_group_name_H-M_alt 'P 1'
_space_group_IT_number 1
_space_group_name_Hall 'P 1'
loop_
_atom_site_label
_atom_site_type_symbol
_atom_site_fract_x
_atom_site_fract_y
_atom_site_fract_z
K1 K 0.000 0.000 0.000
In1 In 0.500 0.500 0.500
Fe1 Fe 0.750 0.750 0.750
```


9.
VASP calculation (PBEsol) on a relaxed KIn2Fe crystal.

Output
DFT formation energy   0.66 eV/atom
Crystal system   cubic
Total DFT energy (no corrections)   -3.36 eV per atom
ΔE to the lowest computed polymorph   0.432 eV/atom

CIF file:
```
data_KIn2Fe
_cell_length_a 5.081
_cell_length_b 5.081
_cell_length_c 5.081
_cell_angle_alpha 60.00
_cell_angle_beta 60.00
_cell_angle_gamma 60.00
_space_group_name_H-M_alt 'P 1'
_space_group_IT_number 1
_space_group_name_Hall 'P 1'
loop_
_atom_site_label
_atom_site_type_symbol
_atom_site_fract_x
_atom_site_fract_y
_atom_site_fract_z
K1 K 0.000 0.000 0.000
In1 In 0.500 0.500 0.500
In2 In 0.750 0.750 0.750
Fe1 Fe 0.250 0.250 0.250
```


10.
VASP calculation (PBEsol) on a relaxed KIn2Fe crystal.

Output
DFT formation energy   0.22 eV/atom
Crystal system   orthorhombic
Total DFT energy (no corrections)   -3.79 eV per atom
ΔE to the lowest computed polymorph   0.000 eV/atom

CIF file:
```
data_KIn2Fe
_cell_length_a 3.029
_cell_length_b 3.485
_cell_length_c 8.634
_cell_angle_alpha 90.00
_cell_angle_beta 90.00
_cell_angle_gamma 90.00
_space_group_name_H-M_alt 'P 1'
_space_group_IT_number 1
_space_group_name_Hall 'P 1'
loop_
_atom_site_label
_atom_site_type_symbol
_atom_site_fract_x
_atom_site_fract_y
_atom_site_fract_z
K1 K 0.000 0.000 0.000
In1 In 0.500 0.500 0.320
In2 In 0.500 0.500 0.680
Fe1 Fe 0.000 0.000 0.500
```


11.
VASP calculation (PBEsol) on a relaxed K2InFe crystal.

Output
DFT formation energy   0.78 eV/atom
Crystal system   cubic
Total DFT energy (no corrections)   -2.78 eV per atom

CIF file:
```
data_K2InFe
_cell_length_a 5.425
_cell_length_b 5.425
_cell_length_c 5.425
_cell_angle_alpha 60.00
_cell_angle_beta 60.00
_cell_angle_gamma 60.00
_space_group_name_H-M_alt 'P 1'
_space_group_IT_number 1
_space_group_name_Hall 'P 1'
loop_
_atom_site_label
_atom_site_type_symbol
_atom_site_fract_x
_atom_site_fract_y
_atom_site_fract_z
K1 K 0.000 0.000 0.000
K2 K 0.250 0.250 0.250
In1 In 0.500 0.500 0.500
Fe1 Fe 0.750 0.750 0.750
```


12.
VASP calculation (PBEsol) on a relaxed KIn2Fe crystal.

Output
DFT formation energy   0.67 eV/atom
Crystal system   tetragonal
Total DFT energy (no corrections)   -3.35 eV per atom
ΔE to the lowest computed polymorph   0.442 eV/atom

CIF file:
```
data_KIn2Fe
_cell_length_a 4.633
_cell_length_b 4.633
_cell_length_c 4.429
_cell_angle_alpha 90.00
_cell_angle_beta 90.00
_cell_angle_gamma 90.00
_space_group_name_H-M_alt 'P 1'
_space_group_IT_number 1
_space_group_name_Hall 'P 1'
loop_
_atom_site_label
_atom_site_type_symbol
_atom_site_fract_x
_atom_site_fract_y
_atom_site_fract_z
K1 K 0.000 0.000 0.000
In1 In 0.000 0.500 0.500
In2 In 0.500 0.000 0.500
Fe1 Fe 0.500 0.500 0.000
```


no.,spin magnetization (μB per formula unit)
1,1.6
2,0.0
3,3.6
4,1.6
5,0.0
6,2.5
7,1.9
8,2.6
9,3.1
10,2.4
11,3.0
12,2.9